i) Below is NiAgSb2 after structural relaxation, with properties calculated at the PBE level.

crystal system	orthorhombic
space-group type	Pmmm (47)

a = 4.5898 Å, b = 4.6438 Å, c = 3.8018 Å
α = 90.00°, β = 90.00°, γ = 90.00°
Atoms (fractional coordinates):
Ag (0.5000, 0.0000, 0.5000)
Sb (0.5000, 0.5000, 0.0000)
Sb (0.0000, 0.0000, 0.0000)
Ni (0.0000, 0.5000, 0.5000)


ii) Below is NiAgSb2 after structural relaxation, with properties calculated at the PBE level.

crystal system	tetragonal
space-group type	I-4m2 (119)

a = 5.6314 Å, b = 5.6314 Å, c = 5.6314 Å
α = 137.29°, β = 137.29°, γ = 61.99°
Atoms (fractional coordinates):
Sb (0.2500, 0.7500, 0.5000)
Sb (0.0000, 0.0000, 0.0000)
Ni (0.7500, 0.2500, 0.5000)
Ag (0.5000, 0.5000, 0.0000)


iii) Below is NiAgSb2 after structural relaxation, with properties calculated at the PBE level.

crystal system	monoclinic
space-group type	Cm (8)

a = 5.1417 Å, b = 5.1417 Å, c = 5.9036 Å
α = 74.03°, β = 74.03°, γ = 36.88°
Atoms (fractional coordinates):
Ni (0.2935, 0.2935, 0.3824)
Ag (0.5761, 0.5761, 0.3392)
Sb (0.7129, 0.7129, 0.7271)
Sb (0.9174, 0.9174, 0.0513)


Quick one: most stable of them? iii)